A plane-wave DFT calculation with GGA-PBE was carried out for a relaxed structure of PmAu4Se.

The structure belongs to space group F-43m (No. 216); the cell edges are 7.968, 7.968 and 7.968 Å and the angles 90.00°, 90.00° and 90.00°. Symmetry generates all atoms from Pm at (0.000, 0.000, 0.000), Au at (0.125, 0.125, 0.625) and Se at (0.250, 0.250, 0.250).

The total moment is 0.00 μB per formula unit. The value obtained for the density is 13287 kg/m3. The value obtained for the formation energy from raw total energies is -0.457 eV per atom. The total energy comes out at -4.014 eV/atom.